1.
DFT (PBE-GGA) results for a relaxed structure of La2ThZn3.

Computed properties:
Magnetic moment ... 0.00 μB/cell
Formation energy from the elements ... -0.26 eV per atom
Space-group type ... P4/mmm, No. 123

Cell lengths 3.722, 3.722, 11.210 Å; angles 90.00, 90.00, 90.00 degrees
Fractional positions:
La 0.500 0.500 0.829
La 0.500 0.500 0.171
Th 0.500 0.500 0.500
Zn 0.000 0.000 0.000
Zn 0.000 0.000 0.659
Zn 0.000 0.000 0.341

---

2.
DFT (PBE-GGA) results for a relaxed structure of La5ThZn4.

Computed properties:
Magnetic moment ... 0.01 μB/cell
Formation energy from the elements ... -0.24 eV per atom
Space-group type ... P4/mmm, No. 123

Cell lengths 3.725, 3.725, 20.199 Å; angles 90.00, 90.00, 90.00 degrees
Fractional positions:
La 0.500 0.500 0.122
La 0.500 0.500 0.313
La 0.500 0.500 0.500
La 0.500 0.500 0.687
La 0.500 0.500 0.878
Th 0.000 0.000 0.000
Zn 0.000 0.000 0.217
Zn 0.000 0.000 0.407
Zn 0.000 0.000 0.593
Zn 0.000 0.000 0.783

---

3.
DFT (PBE-GGA) results for a relaxed structure of La2ThZr.

Computed properties:
Magnetic moment ... 0.00 μB/cell
E above lowest polymorph ... 183 meV/atom
Formation energy from the elements ... 0.32 eV per atom
Space-group type ... R-3m, No. 166

Cell lengths 3.449, 3.449, 12.292 Å; angles 81.93, 81.93, 60.00 degrees
Fractional positions:
Zr 0.000 0.000 0.000
Th 0.500 0.500 0.500
La 0.085 0.085 0.745
La 0.915 0.915 0.255

---

4.
DFT (PBE-GGA) results for a relaxed structure of La2ThZr.

Computed properties:
Magnetic moment ... 0.00 μB/cell
E above lowest polymorph ... 0 meV/atom
Formation energy from the elements ... 0.14 eV per atom
Space-group type ... R3m, No. 160

Cell lengths 3.534, 3.534, 11.681 Å; angles 81.30, 81.30, 60.00 degrees
Fractional positions:
La 0.086 0.086 0.741
La 0.247 0.247 0.258
Th 0.667 0.667 0.999
Zr 0.500 0.500 0.501

---

5.
DFT (PBE-GGA) results for a relaxed structure of LaThZr.

Computed properties:
Magnetic moment ... 0.00 μB/cell
E above lowest polymorph ... 0 meV/atom
Formation energy from the elements ... 0.05 eV per atom
Space-group type ... P4/nmm, No. 129

Cell lengths 3.718, 3.718, 13.213 Å; angles 90.00, 90.00, 90.00 degrees
Fractional positions:
La 0.000 0.500 0.615
La 0.500 0.000 0.385
Th 0.500 0.000 0.790
Th 0.000 0.500 0.210
Zr 0.000 0.500 0.937
Zr 0.500 0.000 0.063

---

6.
DFT (PBE-GGA) results for a relaxed structure of La2ThZr.

Computed properties:
Magnetic moment ... 0.00 μB/cell
E above lowest polymorph ... 23 meV/atom
Formation energy from the elements ... 0.16 eV per atom
Space-group type ... P4/mmm, No. 123

Cell lengths 5.202, 4.901, 4.901 Å; angles 90.00, 90.00, 90.00 degrees
Fractional positions:
Zr 0.500 0.500 0.500
Th 0.500 0.000 0.000
La 0.000 0.000 0.500
La 0.000 0.500 0.000

---

7.
DFT (PBE-GGA) results for a relaxed structure of LaThZr.

Computed properties:
Magnetic moment ... 0.00 μB/cell
E above lowest polymorph ... 61 meV/atom
Formation energy from the elements ... 0.11 eV per atom
Space-group type ... I4mm, No. 107

Cell lengths 3.482, 3.482, 7.787 Å; angles 102.92, 102.92, 90.00 degrees
Fractional positions:
Zr 0.328 0.328 0.656
Th 0.675 0.675 0.349
La 0.997 0.997 0.995

---

8.
DFT (PBE-GGA) results for a relaxed structure of LaThZr.

Computed properties:
Magnetic moment ... 0.00 μB/cell
E above lowest polymorph ... 72 meV/atom
Formation energy from the elements ... 0.12 eV per atom
Space-group type ... P3m1, No. 156

Cell lengths 3.485, 3.485, 8.443 Å; angles 90.00, 90.00, 120.00 degrees
Fractional positions:
Zr 0.667 0.333 0.343
Th 0.333 0.667 0.655
La 0.000 0.000 0.002

---

9.
DFT (PBE-GGA) results for a relaxed structure of LaTi2.

Computed properties:
Magnetic moment ... 5.32 μB/cell
Formation energy from the elements ... 0.35 eV per atom
Space-group type ... Fd-3m, No. 227

Cell lengths 5.848, 5.848, 5.848 Å; angles 60.00, 60.00, 60.00 degrees
Each line ends with the local moment (μB).
Fractional positions:
Ti 0.125 0.625 0.625  0.84
Ti 0.625 0.125 0.625  0.84
Ti 0.625 0.625 0.625  0.84
Ti 0.625 0.625 0.125  0.84
La 0.000 0.000 0.000  0.17
La 0.250 0.250 0.250  0.17

---

10.
DFT (PBE-GGA) results for a relaxed structure of La5Ti.

Computed properties:
Magnetic moment ... 0.78 μB/cell
Formation energy from the elements ... 0.17 eV per atom
Space-group type ... Cmmm, No. 65

Cell lengths 5.024, 5.021, 8.147 Å; angles 107.95, 90.00, 90.00 degrees
Each line ends with the local moment (μB).
Fractional positions:
Ti 0.000 0.000 0.000  0.76
La 0.500 0.843 0.685  -0.02
La 0.000 0.658 0.316  -0.03
La 0.500 0.500 0.000  -0.02
La 0.000 0.342 0.684  -0.03
La 0.500 0.157 0.315  -0.02

---

11.
DFT (PBE-GGA) results for a relaxed structure of LaTiTl3.

Computed properties:
Magnetic moment ... 0.00 μB/cell
E above lowest polymorph ... 0 meV/atom
Formation energy from the elements ... 0.05 eV per atom
Space-group type ... Pm-3m, No. 221

Cell lengths 5.312, 5.312, 5.312 Å; angles 90.00, 90.00, 90.00 degrees
Fractional positions:
Tl 0.000 0.500 0.000
Tl 0.000 0.000 0.500
Tl 0.500 0.000 0.000
Ti 0.000 0.000 0.000
La 0.500 0.500 0.500

---

12.
DFT (PBE-GGA) results for a relaxed structure of LaTi2Tl.

Computed properties:
Magnetic moment ... 1.68 μB/cell
E above lowest polymorph ... 0 meV/atom
Formation energy from the elements ... 0.23 eV per atom
Space-group type ... Fm-3m, No. 225

Cell lengths 4.965, 4.965, 4.965 Å; angles 60.00, 60.00, 60.00 degrees
Each line ends with the local moment (μB).
Fractional positions:
Tl 0.500 0.500 0.500  -0.01
Ti 0.250 0.250 0.250  0.48
Ti 0.750 0.750 0.750  0.48
La 0.000 0.000 0.000  0.28